Entry 1:
DFT (PBE) results for ErSc6Al after structural relaxation.

a b c (Å): 6.0543 6.0543 6.0449
angles (deg): 90.11 90.11 119.89
Fractional positions:
Er: 0.0000 0.0000 0.0000
Sc: 0.0018 0.4383 0.2566
Sc: 0.4356 0.4356 0.7432
Sc: 0.4383 0.0018 0.2566
Sc: 0.5617 0.9982 0.7434
Sc: 0.5644 0.5644 0.2568
Sc: 0.9982 0.5617 0.7434
Al: 0.0000 0.0000 0.5000

- Density: 4.011 Mg/m³
- Total magnetic moment: 0.004 μB/atom
- E_form: 0.068 eV per atom

***

Entry 2:
DFT (PBE) results for Er4Sc2Al after structural relaxation.

a b c (Å): 18.3400 18.3400 18.3400
angles (deg): 10.89 10.89 10.89
Fractional positions:
Er: 0.0951 0.0951 0.0951
Er: 0.2914 0.2914 0.2914
Er: 0.7086 0.7086 0.7086
Er: 0.9049 0.9049 0.9049
Sc: 0.1894 0.1894 0.1894
Sc: 0.8106 0.8106 0.8106
Al: 0.0000 0.0000 0.0000

- Density: 6.824 Mg/m³
- Total magnetic moment: 0.030 μB/atom
- E_form: -0.032 eV per atom

***

Entry 3:
DFT (PBE) results for Er5ScAl6 after structural relaxation.

a b c (Å): 8.6739 8.6739 5.0271
angles (deg): 106.42 106.42 47.59
Fractional positions:
Er: 0.0000 0.0000 0.0000
Er: 0.1636 0.1636 0.6645
Er: 0.3278 0.3278 0.3267
Er: 0.6722 0.6722 0.6733
Er: 0.8364 0.8364 0.3355
Sc: 0.5000 0.5000 0.0000
Al: 0.0972 0.5777 0.8361
Al: 0.2691 0.7309 0.5000
Al: 0.4223 0.9028 0.1639
Al: 0.5777 0.0972 0.8361
Al: 0.7309 0.2691 0.5000
Al: 0.9028 0.4223 0.1639

- Density: 6.522 Mg/m³
- Total magnetic moment: 0.000 μB/atom
- E_form: -0.400 eV per atom

***

Q: E_form of number 1 (ErSc6Al)?
A: 0.068 eV per atom

***

Please write out number 2 again, unchanged.
DFT (PBE) results for Er4Sc2Al after structural relaxation.

a b c (Å): 18.3400 18.3400 18.3400
angles (deg): 10.89 10.89 10.89
Fractional positions:
Er: 0.0951 0.0951 0.0951
Er: 0.2914 0.2914 0.2914
Er: 0.7086 0.7086 0.7086
Er: 0.9049 0.9049 0.9049
Sc: 0.1894 0.1894 0.1894
Sc: 0.8106 0.8106 0.8106
Al: 0.0000 0.0000 0.0000

- Density: 6.824 Mg/m³
- Total magnetic moment: 0.030 μB/atom
- E_form: -0.032 eV per atom

***

Please write out number 3 again, unchanged.
DFT (PBE) results for Er5ScAl6 after structural relaxation.

a b c (Å): 8.6739 8.6739 5.0271
angles (deg): 106.42 106.42 47.59
Fractional positions:
Er: 0.0000 0.0000 0.0000
Er: 0.1636 0.1636 0.6645
Er: 0.3278 0.3278 0.3267
Er: 0.6722 0.6722 0.6733
Er: 0.8364 0.8364 0.3355
Sc: 0.5000 0.5000 0.0000
Al: 0.0972 0.5777 0.8361
Al: 0.2691 0.7309 0.5000
Al: 0.4223 0.9028 0.1639
Al: 0.5777 0.0972 0.8361
Al: 0.7309 0.2691 0.5000
Al: 0.9028 0.4223 0.1639

- Density: 6.522 Mg/m³
- Total magnetic moment: 0.000 μB/atom
- E_form: -0.400 eV per atom

***

Q: Look up the density of the second one.
A: 6.824 Mg/m³